Computed, not measured: a relaxed structure of ZrCd3Re at the PBE level of DFT.

## Properties
As for the electronic total energy: -3.517 eV/atom. The value obtained for the density of states at the Fermi level is 3.8 states/eV/cell. As for the crystal system: cubic. As for the energy above the lowest structure with this stoichiometry: 0 meV/atom.

The structure in POSCAR format:
```
ZrCd3Re
1.0
5.092 0.000 0.000
0.000 5.092 0.000
0.000 0.000 5.092
Zr Cd Re
1 3 1
direct
0.000 0.000 0.000
0.000 0.500 0.500
0.500 0.000 0.500
0.500 0.500 0.000
0.500 0.500 0.500
```